[1]
# PrYLu4

An optimized crystal structure of PrYLu4 (PBE-GGA, Alexandria via LeMat-Bulk).

Lattice parameters (Å, degrees): 9.2565 9.2565 9.2565 90.00 90.00 90.00
Space group F-43m (No. 216)
Symmetry-distinct sites (fractional):
Pr (0.0000, 0.0000, 0.0000) x4
Y (0.2500, 0.2500, 0.7500) x4
Lu (0.1246, 0.1246, 0.3754) x16

Properties
- M_tot (μB per formula unit) = 1.86
- energy relative to the elements (meV/atom) = 267.5
- DOS(E_F) (states/eV/atom) = 2.09
- theoretical density (g cm⁻³) = 7.786

=====

[2]
# Ba2LiPtN

An optimized crystal structure of Ba2LiPtN (PBE-GGA, Alexandria via LeMat-Bulk).

Lattice parameters (Å, degrees): 5.9104 5.9104 3.8823 90.00 90.00 90.00
Space group P4/mmm (No. 123)
Symmetry-distinct sites (fractional):
Ba (0.0000, 0.5000, 0.0000) x2
Li (0.0000, 0.0000, 0.5000) x1
Pt (0.5000, 0.5000, 0.5000) x1
N (0.5000, 0.5000, 0.0000) x1

Properties
- M_tot (μB per formula unit) = 0.00
- energy relative to the elements, uncorrected (eV/atom) = -0.3442
- DOS(E_F) (states/eV/atom) = 0.48
- theoretical density (g cm⁻³) = 6.008
- polymorph energy (0 for the lowest one) (meV per atom) = 92